DFT (PBE+U) results for an optimized crystal structure of VPdN2F.

Output
As for the crystal system: tetragonal. For the raw total energy, the calculation gives -5.350 eV/atom. The size of the total moment is 0.13 μB/atom.

Cell: 3.9609 3.9609 4.2820 Å, 90.00 90.00 90.00°
Last column: nearest neighbours and their distance in Å.
Positions (direct):
F 0.0000 0.0000 0.5000  2 Pd 2.14
Pd 0.0000 0.0000 0.0000  4 N 1.98, 2 F 2.14
N 0.0000 0.5000 0.0000  2 Pd 1.98
V 0.5000 0.5000 0.5000  4 F 2.80, 8 N 2.92
N 0.5000 0.0000 0.0000  2 Pd 1.98